Record 1
DFT (PBE) results for a relaxed structure of SrLa2SnIr.

## Properties
Raw total energy = -5.38 eV per atom
ΔH_f (0 K) = -0.496 eV/atom

Cell: 5.515 5.515 5.782 Å, 90.00 90.00 90.00°
Sites, in units of the cell vectors:
Sr 0.000 0.000 0.000
La 0.000 0.500 0.500
La 0.500 0.000 0.500
Sn 0.500 0.500 0.000
Ir 0.000 0.000 0.500



Record 2
DFT (PBE) results for a relaxed structure of NaAcMgBr6.

## Properties
Raw total energy = -3.60 eV per atom
Formation energy (no corrections) = -1.707 eV/atom

Cell: 7.385 7.385 13.208 Å, 90.00 90.00 120.00°
Sites, in units of the cell vectors:
Na 0.000 0.000 0.000
Na 0.000 0.000 0.500
Ac 0.333 0.667 0.250
Ac 0.667 0.333 0.750
Mg 0.333 0.667 0.750
Mg 0.667 0.333 0.250
Br 0.035 0.367 0.630
Br 0.035 0.667 0.870
Br 0.333 0.367 0.870
Br 0.333 0.965 0.630
Br 0.367 0.035 0.130
Br 0.367 0.333 0.370
Br 0.633 0.667 0.630
Br 0.633 0.965 0.870
Br 0.667 0.035 0.370
Br 0.667 0.633 0.130
Br 0.965 0.333 0.130
Br 0.965 0.633 0.370



Record 3
DFT (PBE) results for a relaxed structure of SrBiPd3.

## Properties
Raw total energy = -4.63 eV per atom
ΔH_f (0 K) = -0.403 eV/atom

Cell: 7.286 7.286 7.286 Å, 130.71 84.22 116.65°
Sites, in units of the cell vectors:
Sr 0.322 0.072 0.250
Sr 0.678 0.928 0.750
Bi 0.000 0.500 0.500
Bi 0.500 0.500 0.000
Pd 0.135 0.000 0.635
Pd 0.135 0.500 0.135
Pd 0.244 0.494 0.750
Pd 0.756 0.506 0.250
Pd 0.865 0.000 0.365
Pd 0.865 0.500 0.865



Record 4
DFT (PBE) results for a relaxed structure of Zr3ReOs.

## Properties
Raw total energy = -8.85 eV per atom
ΔH_f (0 K) = 1.013 eV/atom

Cell: 4.954 4.954 4.954 Å, 90.00 90.00 90.00°
Sites, in units of the cell vectors:
Zr 0.000 0.000 0.500
Zr 0.000 0.500 0.000
Zr 0.500 0.000 0.000
Re 0.500 0.500 0.500
Os 0.000 0.000 0.000



Record 5
DFT (PBE) results for a relaxed structure of CdCu3.

## Properties
Raw total energy = -3.24 eV per atom
ΔH_f (0 K) = 0.058 eV/atom

Cell: 2.810 3.537 5.710 Å, 90.00 90.00 90.00°
Sites, in units of the cell vectors:
Cd 0.000 0.000 0.000
Cu 0.000 0.000 0.500
Cu 0.500 0.500 0.283
Cu 0.500 0.500 0.717



Record 6
DFT (PBE) results for a relaxed structure of PuBe2TlO6.

## Properties
Raw total energy = -7.46 eV per atom
Formation energy (no corrections) = -2.066 eV/atom

Cell: 6.933 6.933 5.756 Å, 102.18 102.18 92.86°
Sites, in units of the cell vectors:
Pu 0.190 0.810 0.750
Pu 0.810 0.190 0.250
Be 0.137 0.279 0.642
Be 0.279 0.137 0.142
Be 0.721 0.863 0.858
Be 0.863 0.721 0.358
Tl 0.414 0.586 0.250
Tl 0.586 0.414 0.750
O 0.115 0.747 0.407
O 0.137 0.217 0.333
O 0.200 0.516 0.760
O 0.217 0.137 0.833
O 0.253 0.885 0.093
O 0.484 0.800 0.740
O 0.516 0.200 0.260
O 0.747 0.115 0.907
O 0.783 0.863 0.167
O 0.800 0.484 0.240
O 0.863 0.783 0.667
O 0.885 0.253 0.593



Record 7
DFT (PBE) results for a relaxed structure of K2YRe3O12.

## Properties
Raw total energy = -7.77 eV per atom
Formation energy (no corrections) = -1.906 eV/atom

Cell: 7.539 7.539 7.539 Å, 58.81 58.81 58.81°
Sites, in units of the cell vectors:
K 0.129 0.129 0.129
K 0.871 0.871 0.871
Y 0.500 0.500 0.500
Re 0.000 0.500 0.500
Re 0.500 0.000 0.500
Re 0.500 0.500 0.000
O 0.141 0.578 0.578
O 0.198 0.198 0.571
O 0.198 0.571 0.198
O 0.422 0.422 0.859
O 0.422 0.859 0.422
O 0.429 0.802 0.802
O 0.571 0.198 0.198
O 0.578 0.141 0.578
O 0.578 0.578 0.141
O 0.802 0.429 0.802
O 0.802 0.802 0.429
O 0.859 0.422 0.422



Record 8
DFT (PBE) results for a relaxed structure of CsKRbO.

## Properties
Raw total energy = -2.61 eV per atom
Formation energy (no corrections) = -0.642 eV/atom

Cell: 9.348 9.348 4.598 Å, 104.15 104.15 28.47°
Sites, in units of the cell vectors:
Cs 0.000 0.000 0.000
K 0.638 0.638 0.637
Rb 0.354 0.354 0.355
O 0.499 0.499 0.500



Record 9
DFT (PBE) results for a relaxed structure of Rb2PIrRh.

## Properties
Raw total energy = -3.61 eV per atom
ΔH_f (0 K) = 1.103 eV/atom

Cell: 6.540 6.540 4.604 Å, 90.00 90.00 90.00°
Sites, in units of the cell vectors:
Rb 0.000 0.500 0.000
Rb 0.500 0.000 0.000
P 0.000 0.000 0.500
Ir 0.500 0.500 0.000
Rh 0.500 0.500 0.500



Record 10
DFT (PBE) results for a relaxed structure of CdFe2Pt.

## Properties
Raw total energy = -5.56 eV per atom
ΔH_f (0 K) = 0.407 eV/atom

Cell: 5.715 5.715 5.715 Å, 102.43 102.43 124.73°
Sites, in units of the cell vectors:
Cd 0.000 0.000 0.000
Cd 0.750 0.250 0.500
Fe 0.155 0.625 0.030
Fe 0.375 0.405 0.530
Fe 0.595 0.125 0.970
Fe 0.875 0.845 0.470
Pt 0.250 0.750 0.500
Pt 0.500 0.500 0.000



Record 11
DFT (PBE) results for a relaxed structure of AlNi4B2.

## Properties
Raw total energy = -5.89 eV per atom
ΔH_f (0 K) = -0.146 eV/atom

Cell: 4.767 4.767 4.022 Å, 90.00 90.00 130.21°
Sites, in units of the cell vectors:
Al 0.000 0.000 0.000
Ni 0.161 0.839 0.500
Ni 0.343 0.657 0.000
Ni 0.657 0.343 0.000
Ni 0.839 0.161 0.500
B 0.398 0.602 0.500
B 0.602 0.398 0.500



Record 12
DFT (PBE) results for a relaxed structure of LiAcScSe3.

## Properties
Raw total energy = -5.46 eV per atom
Formation energy (no corrections) = -1.656 eV/atom

Cell: 8.299 4.086 9.004 Å, 90.00 105.83 90.00°
Sites, in units of the cell vectors:
Li 0.093 0.250 0.093
Li 0.907 0.750 0.907
Ac 0.201 0.250 0.737
Ac 0.799 0.750 0.263
Sc 0.334 0.750 0.350
Sc 0.666 0.250 0.650
Se 0.107 0.250 0.371
Se 0.229 0.750 0.020
Se 0.452 0.750 0.667
Se 0.548 0.250 0.333
Se 0.771 0.250 0.980
Se 0.893 0.750 0.629



no.,volume (Å³/cell)
1,175.9
2,623.7
3,251.3
4,121.6
5,56.7
6,263.1
7,294.8
8,185.3
9,196.9
10,135.9
11,69.8
12,293.7